[1]
Entry from Alexandria: a relaxed structure of Tm4Pd5Rh (PBE).

Results
Density ... 11.36 g/cm³
E ... -0.22152 Ha/atom
Formation energy ... -87.57 kJ/mol of atoms

a b c (Å): 4.669 5.831 7.830
angles (deg): 108.69 107.35 90.00
Atoms (fractional coordinates):
1 Tm 0.691 0.279 0.381
2 Tm 0.083 0.832 0.166
3 Tm 0.309 0.721 0.619
4 Tm 0.917 0.168 0.834
5 Pd 0.295 0.205 0.590
6 Pd 0.113 0.377 0.226
7 Pd 0.887 0.623 0.774
8 Pd 0.500 0.500 0.000
9 Pd 0.705 0.795 0.410
10 Rh 0.500 0.000 0.000


[2]
Entry from Alexandria: a relaxed structure of Ag2HgOs (PBE).

Results
Density ... 14.20 g/cm³
E ... -0.12826 Ha/atom
Formation energy ... 78.96 kJ/mol of atoms

a b c (Å): 4.646 4.646 4.646
angles (deg): 60.00 60.00 60.00
Site moments in Bohr magnetons follow the coordinates.
Atoms (fractional coordinates):
1 Os 0.750 0.750 0.750  0.97
2 Hg 0.500 0.500 0.500  0.00
3 Ag 0.000 0.000 0.000  0.03
4 Ag 0.250 0.250 0.250  0.01


[3]
Entry from Alexandria: a relaxed structure of TaZn2Se (PBE).

Results
Density ... 9.04 g/cm³
E ... -0.15324 Ha/atom

a b c (Å): 7.478 7.478 5.878
angles (deg): 50.50 50.50 90.00
Atoms (fractional coordinates):
1 Zn 0.615 0.125 0.250
2 Zn 0.135 0.625 0.250
3 Zn 0.375 0.385 0.750
4 Zn 0.875 0.865 0.750
5 Se 0.500 0.500 0.000
6 Se 0.250 0.750 0.500
7 Ta 0.000 0.000 0.000
8 Ta 0.750 0.250 0.500


[4]
Entry from Alexandria: a relaxed structure of Te2SeIN (PBE).

Results
Density ... 4.65 g/cm³
Energy relative to the lowest polymorph listed for this composition ... 778.6 meV per atom
E ... -0.08044 Ha/atom

a b c (Å): 5.553 5.553 5.497
angles (deg): 90.00 90.00 90.00
Site moments in Bohr magnetons follow the coordinates.
Atoms (fractional coordinates):
1 I 0.000 0.000 0.500  0.01
2 Te 0.000 0.500 0.000  -0.01
3 Te 0.500 0.000 0.000  -0.01
4 Se 0.000 0.000 0.000  0.01
5 N 0.500 0.500 0.500  -0.39


[5]
Entry from Alexandria: a relaxed structure of Nb6CrPd (PBE).

Results
Density ... 8.65 g/cm³
E ... -0.34626 Ha/atom
Formation energy ... -1.71 kJ/mol of atoms

a b c (Å): 4.611 4.611 7.237
angles (deg): 71.43 71.43 90.00
Atoms (fractional coordinates):
1 Nb 0.746 0.746 0.509
2 Nb 0.622 0.122 0.757
3 Nb 0.122 0.622 0.757
4 Nb 0.378 0.878 0.243
5 Nb 0.254 0.254 0.491
6 Nb 0.878 0.378 0.243
7 Cr 0.500 0.500 0.000
8 Pd 0.000 0.000 0.000


[6]
Entry from Alexandria: a relaxed structure of NpFe2BC (PBE).

Results
Density ... 10.68 g/cm³
E ... -0.34027 Ha/atom
Formation energy ... -10.21 kJ/mol of atoms

a b c (Å): 3.336 5.419 6.713
angles (deg): 90.00 90.00 107.93
Site moments in Bohr magnetons follow the coordinates.
Atoms (fractional coordinates):
1 Np 0.455 0.910 0.750  2.80
2 Np 0.545 0.090 0.250  2.80
3 Fe 0.178 0.357 0.936  1.44
4 Fe 0.822 0.643 0.064  1.44
5 Fe 0.178 0.357 0.564  1.44
6 Fe 0.822 0.643 0.436  1.44
7 B 0.733 0.466 0.750  -0.09
8 B 0.267 0.534 0.250  -0.09
9 C 0.000 0.000 0.000  -0.08
10 C 0.000 0.000 0.500  -0.08


[7]
Entry from Alexandria: a relaxed structure of SiSe2Br (PBE).

Results
Density ... 2.75 g/cm³
Energy relative to the lowest polymorph listed for this composition ... 256.9 meV per atom
E ... -0.12393 Ha/atom

a b c (Å): 5.340 5.340 9.935
angles (deg): 90.00 90.00 145.41
Atoms (fractional coordinates):
1 Br 0.500 0.500 0.750
2 Se 0.000 0.000 0.078
3 Se 0.000 0.000 0.422
4 Si 0.500 0.500 0.250


[8]
Entry from Alexandria: a relaxed structure of LaPr5Y2Ho (PBE).

Results
Density ... 6.08 g/cm³
E ... -0.17856 Ha/atom
Formation energy ... 27.87 kJ/mol of atoms

a b c (Å): 9.562 9.562 9.794
angles (deg): 119.22 119.22 90.00
Atoms (fractional coordinates):
1 La 0.250 0.250 0.500
2 La 0.750 0.750 0.500
3 Pr 0.931 0.431 0.266
4 Pr 0.665 0.165 0.734
5 Pr 0.069 0.569 0.734
6 Pr 0.165 0.069 0.734
7 Pr 0.569 0.665 0.734
8 Pr 0.835 0.931 0.266
9 Pr 0.431 0.335 0.266
10 Pr 0.335 0.835 0.266
11 Pr 0.500 0.500 0.000
12 Pr 0.000 0.000 0.000
13 Y 0.108 0.392 0.000
14 Y 0.608 0.108 0.000
15 Y 0.392 0.892 0.000
16 Y 0.892 0.608 0.000
17 Ho 0.250 0.750 0.500
18 Ho 0.750 0.250 0.500


[9]
Entry from Alexandria: a relaxed structure of Co2Pb (PBE).

Results
Density ... 10.91 g/cm³
E ... -0.20254 Ha/atom
Formation energy ... 44.58 kJ/mol of atoms

a b c (Å): 5.643 5.643 6.645
angles (deg): 66.74 66.74 30.84
Site moments in Bohr magnetons follow the coordinates.
Atoms (fractional coordinates):
1 Co 0.453 0.453 0.745  1.57
2 Co 0.115 0.115 0.479  1.62
3 Co 0.885 0.885 0.521  1.62
4 Co 0.547 0.547 0.255  1.57
5 Pb 0.831 0.831 0.155  -0.04
6 Pb 0.169 0.169 0.845  -0.04


[10]
Entry from Alexandria: a relaxed structure of Sn2Pb2Cl (PBE).

Results
Density ... 7.57 g/cm³
Energy relative to the lowest polymorph listed for this composition ... 145.7 meV per atom
E ... -0.12983 Ha/atom

a b c (Å): 8.997 8.997 3.723
angles (deg): 90.00 90.00 90.00
Atoms (fractional coordinates):
1 Pb 0.147 0.647 0.500
2 Pb 0.647 0.853 0.500
3 Pb 0.853 0.353 0.500
4 Pb 0.353 0.147 0.500
5 Sn 0.351 0.851 0.000
6 Sn 0.851 0.649 0.000
7 Sn 0.649 0.149 0.000
8 Sn 0.149 0.351 0.000
9 Cl 0.000 0.000 0.000
10 Cl 0.500 0.500 0.000


[11]
Entry from Alexandria: a relaxed structure of NbCdS2Cl (PBE).

Results
Density ... 4.30 g/cm³
Energy relative to the lowest polymorph listed for this composition ... 1067.9 meV per atom
E ... -0.13225 Ha/atom

a b c (Å): 4.923 4.923 4.853
angles (deg): 90.00 90.00 90.00
Site moments in Bohr magnetons follow the coordinates.
Atoms (fractional coordinates):
1 Nb 0.500 0.500 0.500  2.45
2 Cl 0.000 0.000 0.500  -0.02
3 S 0.000 0.500 0.000  -0.18
4 S 0.500 0.000 0.000  -0.18
5 Cd 0.000 0.000 0.000  0.00


[12]
Entry from Alexandria: a relaxed structure of LiAlIr (PBE).

Results
Density ... 8.44 g/cm³
E ... -0.18677 Ha/atom
Formation energy ... -23.46 kJ/mol of atoms

a b c (Å): 6.892 6.655 2.751
angles (deg): 83.15 73.50 23.35
Atoms (fractional coordinates):
1 Al 0.991 0.991 0.009
2 Ir 0.337 0.337 0.663
3 Li 0.672 0.672 0.328


[13]
Entry from Alexandria: a relaxed structure of ZrTeBr2 (PBE).

Results
Density ... 6.56 g/cm³
Energy relative to the lowest polymorph listed for this composition ... 962.3 meV per atom
E ... -0.14249 Ha/atom

a b c (Å): 5.137 5.137 5.137
angles (deg): 60.00 60.00 60.00
Atoms (fractional coordinates):
1 Te 0.500 0.500 0.500
2 Br 0.250 0.250 0.250
3 Br 0.750 0.750 0.750
4 Zr 0.000 0.000 0.000


[14]
Entry from Alexandria: a relaxed structure of LiPr2AgTe4 (PBE).

Results
Density ... 6.04 g/cm³
E ... -0.16286 Ha/atom

a b c (Å): 4.518 7.539 7.836
angles (deg): 69.15 90.00 90.00
Atoms (fractional coordinates):
1 Li 0.000 0.500 0.500
2 Pr 0.000 0.000 0.000
3 Pr 0.500 0.000 0.500
4 Ag 0.500 0.500 0.000
5 Te 0.000 0.735 0.756
6 Te 0.000 0.265 0.244
7 Te 0.500 0.737 0.258
8 Te 0.500 0.263 0.742


[15]
Entry from Alexandria: a relaxed structure of PtI2Cl8 (PBE).

Results
Density ... 3.43 g/cm³
E ... -0.08665 Ha/atom

a b c (Å): 7.803 8.039 6.702
angles (deg): 76.90 90.00 119.03
Atoms (fractional coordinates):
1 Pt 0.000 0.000 0.000
2 I 0.243 0.487 0.294
3 I 0.757 0.513 0.706
4 Cl 0.110 0.807 0.896
5 Cl 0.302 0.193 0.104
6 Cl 0.117 0.235 0.636
7 Cl 0.883 0.765 0.364
8 Cl 0.698 0.807 0.896
9 Cl 0.890 0.193 0.104
10 Cl 0.379 0.758 0.443
11 Cl 0.621 0.242 0.557


[16]
Entry from Alexandria: a relaxed structure of CeMg5 (PBE).

Results
Density ... 2.82 g/cm³
E ... -0.08110 Ha/atom
Formation energy ... 10.70 kJ/mol of atoms

a b c (Å): 6.479 6.479 6.479
angles (deg): 51.50 51.50 51.50
Site moments in Bohr magnetons follow the coordinates.
Atoms (fractional coordinates):
1 Ce 0.500 0.500 0.500  0.89
2 Mg 0.000 0.334 0.666  0.00
3 Mg 0.836 0.836 0.836  0.00
4 Mg 0.666 0.000 0.334  0.00
5 Mg 0.334 0.666 0.000  0.00
6 Mg 0.164 0.164 0.164  0.00


[17]
Entry from Alexandria: a relaxed structure of V2HgTe (PBE).

Results
Density ... 8.01 g/cm³
Energy relative to the lowest polymorph listed for this composition ... 163.6 meV per atom
E ... -0.17709 Ha/atom

a b c (Å): 7.376 7.376 6.159
angles (deg): 53.22 53.22 90.00
Site moments in Bohr magnetons follow the coordinates.
Atoms (fractional coordinates):
1 Te 0.500 0.500 0.000  -0.12
2 Te 0.250 0.750 0.500  -0.12
3 Hg 0.000 0.000 0.000  -0.01
4 Hg 0.750 0.250 0.500  -0.01
5 V 0.614 0.125 0.250  2.45
6 V 0.136 0.625 0.250  2.45
7 V 0.375 0.386 0.750  2.45
8 V 0.875 0.864 0.750  2.45


[18]
Entry from Alexandria: a relaxed structure of Zn2NiAsC (PBE).

Results
Density ... 5.83 g/cm³
E ... -0.13742 Ha/atom
Formation energy ... 67.64 kJ/mol of atoms

a b c (Å): 4.739 3.505 4.739
angles (deg): 90.00 90.00 90.00
Atoms (fractional coordinates):
1 C 0.000 0.500 0.000
2 Ni 0.000 0.000 0.000
3 As 0.500 0.500 0.500
4 Zn 0.000 0.000 0.500
5 Zn 0.500 0.000 0.000


[19]
Entry from Alexandria: a relaxed structure of CeTl2Ir3O12 (PBE).

Results
Density ... 7.54 g/cm³
E ... -0.23607 Ha/atom

a b c (Å): 7.576 7.576 7.576
angles (deg): 57.55 57.55 57.55
Atoms (fractional coordinates):
1 Ce 0.000 0.000 0.000
2 Tl 0.658 0.658 0.658
3 Tl 0.342 0.342 0.342
4 Ir 0.500 0.000 0.000
5 Ir 0.000 0.500 0.000
6 Ir 0.000 0.000 0.500
7 O 0.303 0.303 0.920
8 O 0.915 0.915 0.364
9 O 0.364 0.915 0.915
10 O 0.920 0.303 0.303
11 O 0.915 0.364 0.915
12 O 0.303 0.920 0.303
13 O 0.697 0.697 0.080
14 O 0.085 0.085 0.636
15 O 0.636 0.085 0.085
16 O 0.080 0.697 0.697
17 O 0.085 0.636 0.085
18 O 0.697 0.080 0.697


[20]
Entry from Alexandria: a relaxed structure of RbBaMg3 (PBE).

Results
Density ... 1.60 g/cm³
Energy relative to the lowest polymorph listed for this composition ... 0.0 meV per atom
E ... -0.03329 Ha/atom
Formation energy ... 60.69 kJ/mol of atoms

a b c (Å): 6.749 6.749 6.749
angles (deg): 90.00 90.00 90.00
Atoms (fractional coordinates):
1 Mg 0.000 0.500 0.000
2 Mg 0.000 0.000 0.500
3 Mg 0.500 0.000 0.000
4 Ba 0.000 0.000 0.000
5 Rb 0.500 0.500 0.500


[21]
Entry from Alexandria: a relaxed structure of CaTlAs2 (PBE).

Results
Density ... 6.91 g/cm³
Energy relative to the lowest polymorph listed for this composition ... 145.5 meV per atom
E ... -0.13846 Ha/atom
Formation energy ... -33.87 kJ/mol of atoms

a b c (Å): 7.887 4.737 4.222
angles (deg): 89.66 58.11 126.66
Atoms (fractional coordinates):
1 Tl 0.500 0.500 0.000
2 Ca 0.000 0.500 0.500
3 As 0.000 0.000 0.000
4 As 0.500 0.000 0.500


[22]
Entry from Alexandria: a relaxed structure of V2SiH (PBE).

Results
Density ... 5.22 g/cm³
Energy relative to the lowest polymorph listed for this composition ... 68.2 meV per atom
E ... -0.25483 Ha/atom

a b c (Å): 2.702 2.702 6.767
angles (deg): 78.48 78.48 60.00
Atoms (fractional coordinates):
1 H 0.000 0.000 0.000
2 Si 0.500 0.500 0.500
3 V 0.272 0.272 0.183
4 V 0.728 0.728 0.817


[23]
Entry from Alexandria: a relaxed structure of K2ScBr (PBE).

Results
Density ... 2.00 g/cm³
Energy relative to the lowest polymorph listed for this composition ... 530.7 meV per atom
E ... -0.08756 Ha/atom

a b c (Å): 6.201 6.201 6.201
angles (deg): 60.00 60.00 60.00
Site moments in Bohr magnetons follow the coordinates.
Atoms (fractional coordinates):
1 Br 0.500 0.500 0.500  0.02
2 K 0.000 0.000 0.000  0.03
3 K 0.250 0.250 0.250  0.02
4 Sc 0.750 0.750 0.750  1.00


[24]
Entry from Alexandria: a relaxed structure of K2AlMo (PBE).

Results
Density ... 3.34 g/cm³
E ... -0.11343 Ha/atom
Formation energy ... 106.67 kJ/mol of atoms

a b c (Å): 2.870 2.870 12.121
angles (deg): 90.00 90.00 90.00
Site moments in Bohr magnetons follow the coordinates.
Atoms (fractional coordinates):
1 Mo 0.500 0.500 0.250  0.40
2 K 0.000 0.000 0.003  0.01
3 K 0.000 0.000 0.497  0.01
4 Al 0.500 0.500 0.750  0.00


[25]
Entry from Alexandria: a relaxed structure of HfZrBe3 (PBE).

Results
Density ... 5.75 g/cm³
Energy relative to the lowest polymorph listed for this composition ... 44.4 meV per atom
E ... -0.17123 Ha/atom
Formation energy ... 123.17 kJ/mol of atoms

a b c (Å): 4.408 4.408 4.408
angles (deg): 90.00 90.00 90.00
Site moments in Bohr magnetons follow the coordinates.
Atoms (fractional coordinates):
1 Be 0.000 0.500 0.000  0.15
2 Be 0.000 0.000 0.500  0.08
3 Be 0.500 0.000 0.000  0.20
4 Hf 0.500 0.500 0.500  0.04
5 Zr 0.000 0.000 0.000  0.86